The following is a GGA-PBE calculation of an optimized crystal structure of NbNi4Pt7, from Alexandria.

abc: 4.788 5.462 7.167
angles: 78.39 71.07 89.34
Fractional coordinates of all 12 atoms:
Nb (0.000, 0.000, 0.000)
Ni (0.167, 0.416, 0.335)
Ni (0.340, 0.832, 0.668)
Ni (0.660, 0.168, 0.332)
Ni (0.833, 0.584, 0.665)
Pt (0.000, 0.500, 0.000)
Pt (0.167, 0.917, 0.341)
Pt (0.323, 0.333, 0.662)
Pt (0.496, 0.748, 0.999)
Pt (0.504, 0.252, 0.001)
Pt (0.677, 0.667, 0.338)
Pt (0.833, 0.083, 0.659)

Properties
For the formation energy, the calculation gives -21.64 kJ/mol of atoms. As for the total energy: -78.17 eV per formula unit.